This record from Alexandria via LeMat-Bulk describes a geometry-optimized La2Tc structure. The functional is PBEsol.

Values from the calculation:
Crystal system: orthorhombic
ΔE_f in eV/atom: 0.20
E above lowest polymorph in meV per atom: 68

Geometry as CIF:
```
data_La2Tc
_space_group_name_H-M_alt 'C m c m'
_space_group_IT_number 63
_space_group_name_Hall '-C 2c 2'
_cell_length_a 3.865
_cell_length_b 14.658
_cell_length_c 5.609
_cell_angle_alpha 90.00
_cell_angle_beta 90.00
_cell_angle_gamma 90.00
loop_
_atom_site_label
_atom_site_type_symbol
_atom_site_fract_x
_atom_site_fract_y
_atom_site_fract_z
La1 La 0.000 0.078 0.250
La2 La 0.000 0.186 0.750
Tc1 Tc 0.000 0.451 0.250
```

=====

This record from Alexandria via LeMat-Bulk describes a geometry-optimized LiSO4 structure. The functional is PBEsol.

Values from the calculation:
Crystal system: hexagonal
Raw total energy in eV/cell: -71.24

Geometry as CIF:
```
data_LiSO4
_space_group_name_H-M_alt 'P 63'
_space_group_IT_number 173
_cell_length_a 5.2483
_cell_length_b 5.2483
_cell_length_c 8.9311
_cell_angle_alpha 90.00
_cell_angle_beta 90.00
_cell_angle_gamma 120.00
loop_
_space_group_symop_operation_xyz
'x,y,z'
'x-y,x,z+1/2'
'-y,x-y,z'
'-x,-y,z+1/2'
'-x+y,-x,z'
'y,-x+y,z+1/2'
loop_
_atom_site_label
_atom_site_type_symbol
_atom_site_fract_x
_atom_site_fract_y
_atom_site_fract_z
Li1 Li 0.3333 0.6667 0.0000
S1 S 0.3333 0.6667 0.3788
O1 O 0.0486 0.4250 0.4312
O2 O 0.3333 0.6667 0.2133
```

=====

This record from Alexandria via LeMat-Bulk describes a geometry-optimized MgSiAu2 structure. The functional is PBEsol.

Values from the calculation:
Crystal system: tetragonal
Raw total energy in eV/cell: -16.23

Geometry as CIF:
```
data_MgSiAu2
_space_group_name_H-M_alt 'P 4 m m'
_space_group_IT_number 99
_cell_length_a 3.549
_cell_length_b 3.549
_cell_length_c 5.370
_cell_angle_alpha 90.00
_cell_angle_beta 90.00
_cell_angle_gamma 90.00
loop_
_space_group_symop_operation_xyz
'x,y,z'
'-y,x,z'
'-x,-y,z'
'y,-x,z'
'-x,y,z'
'y,x,z'
'x,-y,z'
'-y,-x,z'
loop_
_atom_site_label
_atom_site_type_symbol
_atom_site_fract_x
_atom_site_fract_y
_atom_site_fract_z
Mg1 Mg 0.000 0.000 0.000
Si1 Si 0.500 0.500 0.319
Au1 Au 0.000 0.000 0.483
Au2 Au 0.500 0.500 0.801
```

=====

This record from Alexandria via LeMat-Bulk describes a geometry-optimized TcAs4Ru structure. The functional is PBEsol.

Values from the calculation:
Crystal system: cubic
ΔE_f in eV/atom: 1.02

Geometry as CIF:
```
data_TcAs4Ru
_space_group_name_H-M_alt 'F -4 3 m'
_space_group_IT_number 216
_space_group_name_Hall 'F -4 2 3'
_cell_length_a 7.354
_cell_length_b 7.354
_cell_length_c 7.354
_cell_angle_alpha 90.00
_cell_angle_beta 90.00
_cell_angle_gamma 90.00
loop_
_atom_site_label
_atom_site_type_symbol
_atom_site_fract_x
_atom_site_fract_y
_atom_site_fract_z
Tc1 Tc 0.000 0.000 0.000
As1 As 0.125 0.125 0.375
Ru1 Ru 0.250 0.250 0.750
```

=====

This record from Alexandria via LeMat-Bulk describes a geometry-optimized Na3SrTa4O12 structure. The functional is PBEsol.

Values from the calculation:
Crystal system: monoclinic
Raw total energy in eV/cell: -174.31

Geometry as CIF:
```
data_Na3SrTa4O12
_space_group_name_H-M_alt 'P 1 m 1'
_space_group_IT_number 6
_cell_length_a 5.555
_cell_length_b 7.897
_cell_length_c 5.556
_cell_angle_alpha 90.00
_cell_angle_beta 90.45
_cell_angle_gamma 90.00
loop_
_space_group_symop_operation_xyz
'x,y,z'
'x,-y,z'
loop_
_atom_site_label
_atom_site_type_symbol
_atom_site_fract_x
_atom_site_fract_y
_atom_site_fract_z
Na1 Na 0.000 0.000 0.000
Na2 Na 0.015 0.500 0.984
Na3 Na 0.509 0.500 0.490
Sr1 Sr 0.500 0.000 0.499
Ta1 Ta 0.007 0.253 0.491
Ta2 Ta 0.508 0.253 0.992
O1 O 0.040 0.500 0.532
O2 O 0.229 0.212 0.769
O3 O 0.293 0.249 0.275
O4 O 0.466 0.500 0.961
O5 O 0.548 0.000 0.019
O6 O 0.723 0.251 0.706
O7 O 0.789 0.283 0.210
O8 O 0.978 0.000 0.453
```

=====

This record from Alexandria via LeMat-Bulk describes a geometry-optimized FeSnH12O6F6 structure. The functional is PBEsol.

Values from the calculation:
Crystal system: trigonal
Raw total energy in eV/cell: -400.61

Geometry as CIF:
```
data_FeSnH12O6F6
_space_group_name_H-M_alt 'R -3'
_space_group_IT_number 148
_space_group_name_Hall '-R 3'
_cell_length_a 9.6936
_cell_length_b 9.6936
_cell_length_c 9.9520
_cell_angle_alpha 90.00
_cell_angle_beta 90.00
_cell_angle_gamma 120.00
loop_
_atom_site_label
_atom_site_type_symbol
_atom_site_fract_x
_atom_site_fract_y
_atom_site_fract_z
Fe1 Fe 0.0000 0.0000 0.0000
Sn1 Sn 0.0000 0.0000 0.5000
H1 H 0.0118 0.1820 0.7851
H2 H 0.0409 0.5931 0.7590
O1 O 0.0035 0.8248 0.1161
F1 F 0.0321 0.1829 0.6178
```

=====

This record from Alexandria via LeMat-Bulk describes a geometry-optimized Na4Al4H10O13 structure. The functional is PBEsol.

Values from the calculation:
Crystal system: tetragonal
Raw total energy in eV/cell: -361.19

Geometry as CIF:
```
data_Na4Al4H10O13
_space_group_name_H-M_alt 'P -4 21 m'
_space_group_IT_number 113
_cell_length_a 10.417
_cell_length_b 10.417
_cell_length_c 5.343
_cell_angle_alpha 90.00
_cell_angle_beta 90.00
_cell_angle_gamma 90.00
loop_
_space_group_symop_operation_xyz
'x,y,z'
'y,-x,-z'
'-x,-y,z'
'-y,x,-z'
'x+1/2,-y+1/2,-z'
'y+1/2,x+1/2,z'
'-x+1/2,y+1/2,-z'
'-y+1/2,-x+1/2,z'
loop_
_atom_site_label
_atom_site_type_symbol
_atom_site_fract_x
_atom_site_fract_y
_atom_site_fract_z
Na1 Na 0.102 0.398 0.401
Na2 Na 0.193 0.693 0.677
Al1 Al 0.092 0.189 0.888
H1 H 0.004 0.150 0.488
H2 H 0.056 0.444 0.875
H3 H 0.087 0.693 0.176
O1 O 0.000 0.500 0.764
O2 O 0.066 0.809 0.996
O3 O 0.089 0.178 0.553
O4 O 0.118 0.618 0.285
O5 O 0.164 0.336 0.974
```

=====

This record from Alexandria via LeMat-Bulk describes a geometry-optimized Ba5Cd3 structure. The functional is PBEsol.

Values from the calculation:
Crystal system: tetragonal
ΔE_f in eV/atom: -0.17
E above lowest polymorph in meV per atom: 12

Geometry as CIF:
```
data_Ba5Cd3
_space_group_name_H-M_alt 'I 4/m c m'
_space_group_IT_number 140
_space_group_name_Hall '-I 4 2c'
_cell_length_a 13.723
_cell_length_b 13.723
_cell_length_c 6.948
_cell_angle_alpha 90.00
_cell_angle_beta 90.00
_cell_angle_gamma 90.00
loop_
_atom_site_label
_atom_site_type_symbol
_atom_site_fract_x
_atom_site_fract_y
_atom_site_fract_z
Ba1 Ba 0.000 0.500 0.250
Ba2 Ba 0.085 0.213 0.000
Cd1 Cd 0.000 0.000 0.250
Cd2 Cd 0.160 0.340 0.500
```

=====

This record from Alexandria via LeMat-Bulk describes a geometry-optimized TaMnSbTe2 structure. The functional is PBEsol.

Values from the calculation:
Crystal system: tetragonal
Raw total energy in eV/cell: -28.92

Geometry as CIF:
```
data_TaMnSbTe2
_space_group_name_H-M_alt 'P 4/m m m'
_space_group_IT_number 123
_space_group_name_Hall '-P 4 2'
_cell_length_a 4.998
_cell_length_b 4.998
_cell_length_c 4.878
_cell_angle_alpha 90.00
_cell_angle_beta 90.00
_cell_angle_gamma 90.00
loop_
_atom_site_label
_atom_site_type_symbol
_atom_site_fract_x
_atom_site_fract_y
_atom_site_fract_z
Ta1 Ta 0.000 0.000 0.000
Mn1 Mn 0.500 0.500 0.500
Sb1 Sb 0.500 0.500 0.000
Te1 Te 0.000 0.500 0.500
```

=====

This record from Alexandria via LeMat-Bulk describes a geometry-optimized SmMn2SiC structure. The functional is PBEsol.

Values from the calculation:
Crystal system: orthorhombic
Raw total energy in eV/cell: -169.60

Geometry as CIF:
```
data_SmMn2SiC
_space_group_name_H-M_alt 'C m c m'
_space_group_IT_number 63
_space_group_name_Hall '-C 2c 2'
_cell_length_a 3.769
_cell_length_b 10.462
_cell_length_c 6.915
_cell_angle_alpha 90.00
_cell_angle_beta 90.00
_cell_angle_gamma 90.00
loop_
_atom_site_label
_atom_site_type_symbol
_atom_site_fract_x
_atom_site_fract_y
_atom_site_fract_z
Sm1 Sm 0.000 0.046 0.250
Mn1 Mn 0.000 0.331 0.064
Si1 Si 0.000 0.234 0.750
C1 C 0.000 0.500 0.000
```

=====

This record from Alexandria via LeMat-Bulk describes a geometry-optimized Ta2Be17 structure. The functional is PBEsol.

Values from the calculation:
Crystal system: trigonal
ΔE_f in eV/atom: -0.17

Geometry as CIF:
```
data_Ta2Be17
_space_group_name_H-M_alt 'R -3 m'
_space_group_IT_number 166
_space_group_name_Hall '-R 3 2"'
_cell_length_a 7.3239
_cell_length_b 7.3239
_cell_length_c 10.6565
_cell_angle_alpha 90.00
_cell_angle_beta 90.00
_cell_angle_gamma 120.00
loop_
_atom_site_label
_atom_site_type_symbol
_atom_site_fract_x
_atom_site_fract_y
_atom_site_fract_z
Ta1 Ta 0.0000 0.0000 0.1595
Be1 Be 0.0000 0.0000 0.4010
Be2 Be 0.0000 0.2955 0.5000
Be3 Be 0.0000 0.5000 0.0000
Be4 Be 0.0054 0.5027 0.6556
```

=====

This record from Alexandria via LeMat-Bulk describes a geometry-optimized HoCu3Te3 structure. The functional is PBEsol.

Values from the calculation:
Crystal system: trigonal
Raw total energy in eV/cell: -191.26

Geometry as CIF:
```
data_HoCu3Te3
_space_group_name_H-M_alt 'R -3'
_space_group_IT_number 148
_space_group_name_Hall '-R 3'
_cell_length_a 7.2880
_cell_length_b 7.2880
_cell_length_c 20.5549
_cell_angle_alpha 90.00
_cell_angle_beta 90.00
_cell_angle_gamma 120.00
loop_
_atom_site_label
_atom_site_type_symbol
_atom_site_fract_x
_atom_site_fract_y
_atom_site_fract_z
Ho1 Ho 0.0000 0.0000 0.1630
Cu1 Cu 0.0201 0.3135 0.9594
Te1 Te 0.0078 0.3143 0.4187
```